Entry 1:
An optimized crystal structure of TbTaN2O. Source: the Open Quantum Materials Database, functional PBE.

The space group is P2_1/c (No. 14) and the conventional cell measures 7.901, 7.924 and 11.028 Å, with angles of 90.00, 134.01 and 90.00 degrees. The asymmetric unit holds Tb at (0.054, 0.243, 0.027), Tb at (0.445, 0.744, 0.473), Ta at (0.017, 0.006, 0.262), Ta at (0.489, 0.504, 0.234), N at (0.030, 0.750, 0.218), N at (0.186, 0.549, 0.000), N at (0.305, 0.047, 0.305), N at (0.467, 0.250, 0.187), O at (0.196, 0.551, 0.499) and O at (0.315, 0.048, 0.816).

Its final energy is -9.58 eV/atom.

---

Entry 2:
An optimized crystal structure of Mg2CdAg. Source: the Open Quantum Materials Database, functional PBE.

The space group is F-43m (No. 216) and the conventional cell measures 6.798, 6.798 and 6.798 Å, with angles of 90.00, 90.00 and 90.00 degrees. The asymmetric unit holds Mg at (0.000, 0.000, 0.000), Mg at (0.250, 0.250, 0.250), Cd at (0.000, 0.000, 0.500) and Ag at (0.250, 0.250, 0.750).

Its final energy is -1.81 eV/atom. The calculation puts the distance to the lowest polymorph of the same formula at 62 meV per atom.

---

Entry 3:
An optimized crystal structure of UAlNi. Source: the Open Quantum Materials Database, functional PBE.

The space group is P-62m (No. 189) and the conventional cell measures 6.9440, 6.9440 and 4.3748 Å, with angles of 90.00, 90.00 and 120.00 degrees. The asymmetric unit holds U at (0.0000, 0.2202, 0.0000), Al at (0.0000, 0.0000, 0.5000), Al at (0.3333, 0.6667, 0.0000) and Ni at (0.0000, 0.6500, 0.5000).

Its final energy is -6.17 eV/atom.